(1)
DFT (PBE) results for an optimized crystal structure of MgAgRuF6.

Cell: 5.3862 5.3862 10.4964 Å, 90.00 90.00 120.00°
With the nearest neighbours (Å) after each atom.
Space group P-31c (No. 163)
Asymmetric unit:
1 Mg 0.3333 0.6667 0.2500 [2 per cell]  6 F 2.03
2 Ag 0.0000 0.0000 0.0000 [2 per cell]  6 F 2.49
3 Ru 0.3333 0.6667 0.7500 [2 per cell]  6 F 2.03
4 F 0.0006 0.3624 0.1474 [12 per cell]  1 Mg 2.03, 1 Ru 2.03

Values from the calculation:
total magnetization: 2.00 μB/cell
ΔE_f (raw): -1792 kJ/mol of formula units

(2)
DFT (PBE) results for an optimized crystal structure of MgAg2SbF.

Cell: 5.3569 5.3569 4.3446 Å, 90.00 90.00 90.00°
With the nearest neighbours (Å) after each atom.
Space group P4/mmm (No. 123)
Asymmetric unit:
1 Mg 0.0000 0.0000 0.0000 [1 per cell]  8 Ag 3.45, 4 F 3.79
2 Ag 0.0000 0.5000 0.5000 [2 per cell]  2 Sb 2.68
3 Sb 0.5000 0.5000 0.5000 [1 per cell]  2 F 2.17
4 F 0.5000 0.5000 0.0000 [1 per cell]  2 Sb 2.17

Values from the calculation:
total magnetization: 0.00 μB/cell
ΔE_f (raw): -144 kJ/mol of formula units